(1)
The following is a DFT calculation (PBE) of a relaxed structure of ScNiPb2I.

The structure in CIF format:
```
data_ScNiPb2I
_space_group_name_H-M_alt 'P 4/m m m'
_space_group_IT_number 123
_space_group_name_Hall '-P 4 2'
_cell_length_a 5.1196
_cell_length_b 5.1196
_cell_length_c 5.3554
_cell_angle_alpha 90.00
_cell_angle_beta 90.00
_cell_angle_gamma 90.00
loop_
_atom_site_label
_atom_site_type_symbol
_atom_site_fract_x
_atom_site_fract_y
_atom_site_fract_z
_atom_site_occupancy
Sc1 Sc 0.0000 0.0000 0.0000 1
Ni1 Ni 0.5000 0.5000 0.5000 1
Pb1 Pb 0.0000 0.5000 0.5000 1
I1 I 0.5000 0.5000 0.0000 1
```

Values from the calculation:
- crystal system = tetragonal
- total moment (μB/f.u.) = 0.000
- formation energy without anion corrections (eV per atom) = 0.31
- total DFT energy (no corrections) (eV per atom) = -3.9089

(2)
The following is a DFT calculation (PBE) of a relaxed structure of DyYSi.

The structure in CIF format:
```
data_DyYSi
_space_group_name_H-M_alt 'C 1 2/m 1'
_space_group_IT_number 12
_cell_length_a 11.1217
_cell_length_b 4.1622
_cell_length_c 8.0742
_cell_angle_alpha 90.00
_cell_angle_beta 125.20
_cell_angle_gamma 90.00
loop_
_space_group_symop_operation_xyz
'x,y,z'
'-x,-y,-z'
'-x,y,-z'
'x,-y,z'
'x+1/2,y+1/2,z'
'-x+1/2,-y+1/2,-z'
'-x+1/2,y+1/2,-z'
'x+1/2,-y+1/2,z'
loop_
_atom_site_label
_atom_site_type_symbol
_atom_site_fract_x
_atom_site_fract_y
_atom_site_fract_z
_atom_site_occupancy
Dy1 Dy 0.1735 0.0000 0.0757 1
Y1 Y 0.0844 0.5000 0.3610 1
Si1 Si 0.1226 0.0000 0.6578 1
```

Values from the calculation:
- crystal system = monoclinic
- total moment (μB/f.u.) = 0.000
- formation energy without anion corrections (eV per atom) = -0.54
- polymorph energy (0 for the lowest one) (eV/f.u.) = 0.000
- total DFT energy (no corrections) (eV per atom) = -6.0335

(3)
The following is a DFT calculation (PBE) of a relaxed structure of ZrNi9Sb2.

The structure in CIF format:
```
data_ZrNi9Sb2
_space_group_name_H-M_alt 'R -3 m'
_space_group_IT_number 166
_space_group_name_Hall '-R 3 2"'
_cell_length_a 4.8113
_cell_length_b 4.8113
_cell_length_c 24.6550
_cell_angle_alpha 90.00
_cell_angle_beta 90.00
_cell_angle_gamma 120.00
loop_
_atom_site_label
_atom_site_type_symbol
_atom_site_fract_x
_atom_site_fract_y
_atom_site_fract_z
_atom_site_occupancy
Zr1 Zr 0.0000 0.0000 0.0000 1
Ni1 Ni 0.0000 0.0000 0.3332 1
Ni2 Ni 0.0000 0.0000 0.5000 1
Ni3 Ni 0.0007 0.5003 0.9187 1
Sb1 Sb 0.0000 0.0000 0.1285 1
```

Values from the calculation:
- crystal system = trigonal
- total moment (μB/f.u.) = 0.000
- formation energy without anion corrections (eV per atom) = -0.15
- polymorph energy (0 for the lowest one) (eV/f.u.) = 1.050
- total DFT energy (no corrections) (eV per atom) = -5.8856